1.
The following is a DFT calculation (GGA-PBE) of Mg2SnHg after structural relaxation.

Calculated values
As for the space group: Immm.

Structure (POSCAR):
```
Mg2SnHg
1.0
-5.218 2.434 3.341
0.670 -5.244 -4.046
5.525 -3.705 -0.257
Mg Sn Hg
2 1 1
direct
0.000 0.256 0.256
0.000 0.744 0.744
0.000 0.000 0.000
0.000 0.500 0.500
```

***

2.
The following is a DFT calculation (GGA-PBE) of Mg3SnHg after structural relaxation.

Calculated values
As for the space group: Pmmn.

Structure (POSCAR):
```
Mg3SnHg
1.0
4.728 -0.001 0.000
0.001 6.140 0.000
0.000 0.000 8.264
Mg Sn Hg
6 2 2
direct
0.750 0.750 0.073
0.250 0.250 0.927
0.750 0.004 0.715
0.750 0.496 0.715
0.250 0.996 0.285
0.250 0.504 0.285
0.750 0.250 0.138
0.250 0.750 0.862
0.750 0.750 0.420
0.250 0.250 0.580
```

***

3.
The following is a DFT calculation (GGA-PBE) of MgSnHg5 after structural relaxation.

Calculated values
As for the space group: C2/c.

Structure (POSCAR):
```
MgSnHg5
1.0
-5.669 2.127 -4.820
5.700 -4.592 -2.512
-3.698 -3.863 6.970
Mg Sn Hg
2 2 10
direct
0.388 0.612 0.250
0.612 0.388 0.750
0.000 0.000 0.000
0.000 0.000 0.500
0.881 0.331 0.151
0.710 0.551 0.488
0.331 0.881 0.651
0.155 0.845 0.250
0.449 0.290 0.012
0.551 0.710 0.988
0.845 0.155 0.750
0.669 0.119 0.349
0.290 0.449 0.512
0.119 0.669 0.849
```

***

4.
The following is a DFT calculation (GGA-PBE) of Mg2SnHg after structural relaxation.

Calculated values
As for the space group: R3m.

Structure (POSCAR):
```
Mg2SnHg
1.0
4.034 0.000 0.000
2.017 3.494 0.000
2.017 1.165 7.226
Mg Sn Hg
2 1 1
direct
0.079 0.079 0.762
0.254 0.254 0.239
0.500 0.500 0.499
0.667 0.667 0.000
```

***

5.
The following is a DFT calculation (GGA-PBE) of Mg6Sn3Hg after structural relaxation.

Calculated values
As for the space group: C2/m.

Structure (POSCAR):
```
Mg6Sn3Hg
1.0
-7.010 -3.588 3.590
-5.592 -2.787 -3.571
-2.077 -6.847 -0.765
Mg Sn Hg
6 3 1
direct
0.341 0.166 0.658
0.659 0.342 0.834
0.659 0.834 0.342
0.341 0.658 0.166
0.104 0.739 0.739
0.896 0.261 0.261
0.257 0.244 0.244
0.743 0.756 0.756
0.000 0.000 0.000
0.500 0.500 0.500
```

***

6.
The following is a DFT calculation (GGA-PBE) of Mg6SnHg12 after structural relaxation.

Calculated values
As for the space group: R-3.

Structure (POSCAR):
```
Mg6SnHg12
1.0
1.057 -6.219 4.344
3.590 -1.552 -7.598
8.429 -1.214 0.712
Mg Sn Hg
6 1 12
direct
0.436 0.491 0.221
0.054 0.712 0.509
0.343 0.779 0.712
0.564 0.509 0.779
0.946 0.288 0.491
0.657 0.221 0.288
0.000 0.000 0.000
0.520 0.859 0.279
0.661 0.861 0.859
0.800 0.279 0.861
0.480 0.141 0.721
0.339 0.139 0.141
0.200 0.721 0.139
0.261 0.446 0.622
0.117 0.378 0.068
0.185 0.068 0.554
0.739 0.554 0.378
0.883 0.622 0.932
0.815 0.932 0.446
```

***

7.
The following is a DFT calculation (GGA-PBE) of MgSn2Hg after structural relaxation.

Calculated values
As for the space group: I-42d.

Structure (POSCAR):
```
MgSn2Hg
1.0
8.279 0.000 0.000
0.000 8.279 0.000
4.140 4.140 3.080
Mg Hg Sn
2 2 4
direct
0.500 0.500 0.000
0.250 0.750 0.500
0.000 0.000 0.000
0.750 0.250 0.500
0.634 0.125 0.250
0.116 0.625 0.250
0.375 0.366 0.750
0.875 0.884 0.750
```

***

8.
The following is a DFT calculation (GGA-PBE) of Mg2SnHg after structural relaxation.

Calculated values
As for the space group: I-42d.

Structure (POSCAR):
```
Mg2SnHg
1.0
4.548 0.000 0.000
0.000 4.548 0.000
2.274 2.274 9.777
Mg Hg Sn
4 2 2
direct
0.639 0.125 0.250
0.111 0.625 0.250
0.375 0.361 0.750
0.875 0.889 0.750
0.000 0.000 0.000
0.750 0.250 0.500
0.500 0.500 0.000
0.250 0.750 0.500
```

***

9.
The following is a DFT calculation (GGA-PBE) of MgSn2Hg after structural relaxation.

Calculated values
As for the space group: R-3m.

Structure (POSCAR):
```
MgSn2Hg
1.0
3.365 0.000 0.000
1.682 2.914 0.000
1.682 0.971 11.065
Mg Hg Sn
1 1 2
direct
0.000 0.000 0.000
0.500 0.500 0.500
0.090 0.090 0.730
0.910 0.910 0.270
```

***

10.
The following is a DFT calculation (GGA-PBE) of Mg6SnHg after structural relaxation.

Calculated values
As for the space group: P4/mmm.

Structure (POSCAR):
```
Mg6SnHg
1.0
-0.838 -0.820 -4.275
-2.343 -3.584 1.147
-7.424 5.011 0.494
Mg Sn Hg
6 1 1
direct
0.500 0.500 0.000
0.500 0.500 0.500
0.500 0.000 0.245
0.500 0.000 0.755
0.000 0.500 0.245
0.000 0.500 0.755
0.000 0.000 0.500
0.000 0.000 0.000
```

***

11.
The following is a DFT calculation (GGA-PBE) of Mg2SnHg2 after structural relaxation.

Calculated values
As for the space group: P4/mbm.

Structure (POSCAR):
```
Mg2SnHg2
1.0
-6.740 -3.858 2.443
1.286 -5.784 -5.584
1.877 -1.815 2.312
Mg Hg Sn
4 4 2
direct
0.164 0.664 0.500
0.664 0.836 0.500
0.836 0.336 0.500
0.336 0.164 0.500
0.365 0.865 0.000
0.865 0.635 0.000
0.635 0.135 0.000
0.135 0.365 0.000
0.000 0.000 0.000
0.500 0.500 0.000
```

***

12.
The following is a DFT calculation (GGA-PBE) of Mg3SnHg2 after structural relaxation.

Calculated values
As for the space group: P4/mmm.

Structure (POSCAR):
```
Mg3SnHg2
1.0
3.330 0.000 0.000
0.000 3.330 0.000
0.000 0.000 12.064
Mg Sn Hg
3 1 2
direct
0.000 0.000 0.000
0.000 0.000 0.682
0.000 0.000 0.318
0.500 0.500 0.500
0.500 0.500 0.838
0.500 0.500 0.162
```

***

Number 1: E -1.76 eV/atom, magnetic moment 0.0 μB per formula unit, E_form 118 meV per atom. Number 2: E -1.95 eV/atom, magnetic moment 0.0 μB per formula unit, E_form -131 meV per atom. Number 3: E -1.01 eV/atom, magnetic moment 0.0 μB per formula unit, E_form 1 meV per atom. Number 4: E -1.91 eV/atom, magnetic moment 0.0 μB per formula unit, E_form -41 meV per atom. Number 5: E -2.20 eV/atom, magnetic moment 0.0 μB per formula unit, E_form -17 meV per atom. Number 6: E -0.99 eV/atom, magnetic moment 0.0 μB per formula unit, E_form -82 meV per atom. Number 7: E -2.42 eV/atom, magnetic moment 0.0 μB per formula unit, E_form 58 meV per atom. Number 8: E -1.87 eV/atom, magnetic moment 0.0 μB per formula unit, E_form 6 meV per atom. Number 9: E -2.35 eV/atom, magnetic moment 0.0 μB per formula unit, E_form 126 meV per atom. Number 10: E -1.87 eV/atom, magnetic moment 0.0 μB per formula unit, E_form -137 meV per atom. Number 11: E -1.69 eV/atom, magnetic moment 0.0 μB per formula unit, E_form -130 meV per atom. Number 12: E -1.76 eV/atom, magnetic moment 0.0 μB per formula unit, E_form -194 meV per atom.